The following is a PBE-GGA calculation of an optimized crystal structure of CaHfScPd2, from the Alexandria database.

Calculated values
ΔE_f, eV/atom: 0.327

abc: 4.8916 4.8916 5.0408
angles: 90.00 90.00 90.00
Sites, in units of the cell vectors:
Ca1 0.0000 0.0000 0.0000
Hf1 0.5000 0.5000 0.0000
Sc1 0.5000 0.5000 0.5000
Pd1 0.0000 0.5000 0.5000
Pd2 0.5000 0.0000 0.5000